(1)
4
Lattice="-0.8463 1.7056 2.9415 -2.8224 -2.0429 0.3725 4.5365 -5.4530 4.4669" Properties=species:S:1:pos:R:3 comment="PBE Dy2PaAg, relaxed" space_group="No. 123" total_energy_ev_per_atom=-5.420 dos_ef_per_ev_atom=1.4749 pbc="T T T"
Pa 0.4339 -2.8951 3.8905
Ag -1.8343 -0.1686 1.6570
Dy 3.4939 -4.1997 3.4403
Dy 1.0426 -1.2533 1.0266

***

(2)
4
Lattice="3.3774 0.0000 0.0000 0.0000 5.5049 0.0000 0.0000 0.0000 5.5049" Properties=species:S:1:pos:R:3 comment="PBE Dy2PaAg, relaxed" space_group="No. 123" total_energy_ev_per_atom=-5.268 dos_ef_per_ev_atom=1.7821 pbc="T T T"
Pa 1.6887 0.0000 0.0000
Ag 1.6887 2.7525 2.7525
Dy 0.0000 0.0000 2.7525
Dy 0.0000 2.7525 0.0000

***

(3)
4
Lattice="-1.8251 1.5642 2.1601 -2.5457 -1.4763 1.3357 5.2491 -3.8597 9.6475" Properties=species:S:1:pos:R:3 comment="PBE Dy2PaAg, relaxed" space_group="No. 166" total_energy_ev_per_atom=-5.133 dos_ef_per_ev_atom=1.0370 pbc="T T T"
Pa 0.0000 0.0000 0.0000
Ag 0.4392 -1.8859 6.5717
Dy 3.3777 -2.7744 7.2804
Dy -2.4994 -0.9974 5.8629